Entry from the Open Quantum Materials Database: a relaxed structure of ZnPb (PBE).

Cell: 5.3883 10.6762 4.9785 Å, 90.00 90.00 90.00°
Atoms (fractional coordinates):
Pb 0.3637 0.3356 0.5000
Pb 0.9513 0.6956 0.0000
Pb 0.4516 0.1377 0.0000
Pb 0.8875 0.1425 0.5000
Pb 0.8636 0.4977 0.5000
Pb 0.3872 0.6908 0.5000
Zn 0.4948 0.8614 0.0000
Zn 0.9597 0.3387 0.0000
Zn 0.3432 0.9675 0.5000
Zn 0.8430 0.8659 0.5000
Zn 0.9950 0.9719 0.0000
Zn 0.4595 0.4946 0.0000

Output
As for the total energy: -0.17044 Ry per atom. The volume comes out at 286 Å³ per cell.